Entry 1:
Density functional theory data (PBE) for crystalline RbAcBeF6 at its relaxed geometry.

a = 5.744 Å, b = 5.744 Å, c = 5.923 Å
α = 90.00°, β = 90.00°, γ = 60.00°
Fractional coordinates of all 9 atoms:
F  0.076  0.335  0.321
F  0.076  0.589  0.679
Rb  0.000  0.000  0.000
F  0.589  0.335  0.679
F  0.335  0.589  0.321
F  0.335  0.076  0.679
F  0.589  0.076  0.321
Ac  0.667  0.667  0.500
Be  0.333  0.333  0.500

Computed properties:
- E_tot (eV per atom) = -5.5853
- formation energy without anion corrections (eV per atom) = -3.360
- crystal system = trigonal
- SG = P312 (149)

=====

Entry 2:
Density functional theory data (PBE) for crystalline AcBe2Ga at its relaxed geometry.

a = 3.967 Å, b = 3.967 Å, c = 6.008 Å
α = 70.72°, β = 70.72°, γ = 60.00°
Fractional coordinates of all 4 atoms:
Be  0.808  0.808  0.576
Ac  0.000  0.000  0.000
Ga  0.500  0.500  0.500
Be  0.192  0.192  0.424

Computed properties:
- E_tot (eV per atom) = -3.7648
- crystal system = trigonal
- SG = R-3m (166)

=====

Entry 3:
Density functional theory data (PBE) for crystalline AcBeGa at its relaxed geometry.

a = 3.429 Å, b = 3.429 Å, c = 6.246 Å
α = 105.93°, β = 105.93°, γ = 90.00°
Fractional coordinates of all 3 atoms:
Be  0.700  0.700  0.400
Ga  0.295  0.295  0.590
Ac  0.005  0.005  0.010

Computed properties:
- E_tot (eV per atom) = -3.4679
- ΔE to the lowest computed polymorph (eV per atom) = 0.382
- crystal system = tetragonal
- SG = I4mm (107)

=====

Entry 4:
Density functional theory data (PBE) for crystalline Ac2BeGa3 at its relaxed geometry.

a = 4.656 Å, b = 4.314 Å, c = 7.460 Å
α = 90.00°, β = 90.00°, γ = 90.00°
Fractional coordinates of all 6 atoms:
Ga  0.500  0.000  0.184
Be  0.500  0.500  0.330
Ac  0.000  0.500  0.003
Ac  0.000  0.000  0.499
Ga  0.500  0.000  0.836
Ga  0.500  0.500  0.649

Computed properties:
- E_tot (eV per atom) = -3.9466
- ΔE to the lowest computed polymorph (eV per atom) = 0.006
- crystal system = orthorhombic
- SG = Pmm2 (25)

=====

Entry 5:
Density functional theory data (PBE) for crystalline AcBeGa at its relaxed geometry.

a = 4.659 Å, b = 4.184 Å, c = 4.184 Å
α = 120.00°, β = 90.00°, γ = 90.00°
Fractional coordinates of all 3 atoms:
Ga  0.167  0.000  0.000
Ac  0.667  0.333  0.667
Be  0.166  0.667  0.333

Computed properties:
- E_tot (eV per atom) = -3.8496
- ΔE to the lowest computed polymorph (eV per atom) = 0.000
- crystal system = hexagonal
- SG = P-6m2 (187)

=====

Entry 6:
Density functional theory data (PBE) for crystalline AcBeGa at its relaxed geometry.

a = 4.361 Å, b = 4.361 Å, c = 8.071 Å
α = 105.67°, β = 105.67°, γ = 90.00°
Fractional coordinates of all 6 atoms:
Ac  0.667  0.167  0.334
Be  0.833  0.833  0.665
Ga  0.250  0.750  0.500
Ac  0.417  0.417  0.834
Be  0.083  0.583  0.165
Ga  0.000  0.000  0.000

Computed properties:
- E_tot (eV per atom) = -3.8224
- ΔE to the lowest computed polymorph (eV per atom) = 0.027
- crystal system = tetragonal
- SG = I4_1md (109)

=====

Entry 7:
Density functional theory data (PBE) for crystalline Ac2BeGa3 at its relaxed geometry.

a = 6.344 Å, b = 6.344 Å, c = 8.799 Å
α = 112.88°, β = 112.88°, γ = 85.50°
Fractional coordinates of all 12 atoms:
Be  0.667  0.667  0.334
Ac  0.758  0.758  0.000
Ac  0.250  0.750  0.500
Ga  0.824  0.351  0.174
Ga  0.174  0.174  0.347
Ga  0.176  0.649  0.826
Ac  0.242  0.242  0.000
Ac  0.750  0.250  0.500
Ga  0.826  0.826  0.653
Ga  0.351  0.824  0.174
Ga  0.649  0.176  0.826
Be  0.333  0.333  0.666

Computed properties:
- E_tot (eV per atom) = -3.9531
- ΔE to the lowest computed polymorph (eV per atom) = 0.000
- crystal system = orthorhombic
- SG = Fmmm (69)

=====

Entry 8:
Density functional theory data (PBE) for crystalline AcBeGaIr at its relaxed geometry.

a = 4.147 Å, b = 4.147 Å, c = 6.084 Å
α = 70.07°, β = 70.07°, γ = 60.00°
Fractional coordinates of all 4 atoms:
Ac  0.818  0.818  0.547
Ga  0.009  0.009  0.973
Ir  0.612  0.612  0.165
Be  0.288  0.288  0.137

Computed properties:
- E_tot (eV per atom) = -5.4441
- crystal system = trigonal
- SG = R3m (160)

=====

Entry 9:
Density functional theory data (PBE) for crystalline Ac2BeGaO6 at its relaxed geometry.

a = 5.470 Å, b = 5.470 Å, c = 9.723 Å
α = 73.66°, β = 73.66°, γ = 60.00°
Fractional coordinates of all 20 atoms:
O  0.718  0.201  0.881
Ac  0.129  0.129  0.614
Be  0.500  0.500  0.500
O  0.862  0.380  0.378
Ac  0.290  0.290  0.131
Ac  0.710  0.710  0.869
O  0.380  0.380  0.378
O  0.799  0.282  0.119
O  0.282  0.799  0.119
O  0.620  0.620  0.622
O  0.799  0.799  0.119
O  0.201  0.201  0.881
O  0.201  0.718  0.881
Ga  0.412  0.412  0.765
Be  0.000  0.000  0.000
O  0.380  0.862  0.378
O  0.138  0.620  0.622
Ga  0.588  0.588  0.235
Ac  0.871  0.871  0.386
O  0.620  0.138  0.622

Computed properties:
- E_tot (eV per atom) = -6.9881
- formation energy without anion corrections (eV per atom) = -2.516
- crystal system = trigonal
- SG = R-3m (166)

=====

Entry 10:
Density functional theory data (PBE) for crystalline AcBeGaO4 at its relaxed geometry.

a = 5.264 Å, b = 5.264 Å, c = 5.153 Å
α = 120.72°, β = 120.72°, γ = 90.00°
Fractional coordinates of all 7 atoms:
O  0.216  0.097  0.714
O  0.383  0.784  0.286
O  0.498  0.617  0.714
O  0.903  0.502  0.286
Be  0.250  0.750  0.500
Ac  0.000  0.000  0.000
Ga  0.500  0.500  0.000

Computed properties:
- E_tot (eV per atom) = -7.0432
- formation energy without anion corrections (eV per atom) = -2.658
- crystal system = tetragonal
- SG = I-4 (82)

=====

Entry 11:
Density functional theory data (PBE) for crystalline AcBeGaPd6 at its relaxed geometry.

a = 7.176 Å, b = 8.532 Å, c = 7.912 Å
α = 122.63°, β = 116.97°, γ = 90.00°
Fractional coordinates of all 18 atoms:
Ac  0.171  0.421  0.342
Pd  0.612  0.889  0.754
Pd  0.612  0.365  0.754
Pd  0.858  0.635  0.246
Ga  0.500  0.000  0.500
Pd  0.388  0.111  0.246
Ac  0.829  0.579  0.658
Be  0.500  0.000  0.000
Pd  0.142  0.889  0.754
Ga  0.000  0.000  0.500
Pd  0.388  0.635  0.246
Pd  0.904  0.154  0.808
Pd  0.442  0.692  0.884
Be  0.500  0.500  0.000
Pd  0.858  0.111  0.246
Pd  0.096  0.846  0.192
Pd  0.142  0.365  0.754
Pd  0.558  0.308  0.116

Computed properties:
- E_tot (eV per atom) = -5.0496
- crystal system = orthorhombic
- SG = Imma (74)

=====

Entry 12:
Density functional theory data (PBE) for crystalline AcBeGaPd3 at its relaxed geometry.

a = 6.371 Å, b = 5.884 Å, c = 6.766 Å
α = 115.77°, β = 90.00°, γ = 90.00°
Fractional coordinates of all 12 atoms:
Ac  0.250  0.719  0.437
Pd  0.000  0.255  0.000
Pd  0.750  0.827  0.655
Be  0.250  0.981  0.963
Ac  0.750  0.281  0.563
Pd  0.000  0.745  0.000
Ga  0.750  0.620  0.240
Pd  0.500  0.745  0.000
Ga  0.250  0.380  0.760
Pd  0.250  0.173  0.345
Pd  0.500  0.255  0.000
Be  0.750  0.019  0.037

Computed properties:
- E_tot (eV per atom) = -5.0560
- crystal system = orthorhombic
- SG = Cmcm (63)

=====

Question: Among the records above, which one has the highest E_tot?
Answer: number 3